No. 1
DFT (PBE) results for SbOsSe after structural relaxation.

Cell: 4.470 4.470 3.286 Å, 90.00 90.00 120.00°
Fractional positions:
1 Sb 0.333 0.667 0.333
2 Os 0.000 0.000 0.834
3 Se 0.667 0.333 0.833

Computed properties:
- Uncorrected energy: -5.700 eV/atom
- V: 56.8 Å³/cell
- Raw formation energy: 56 kJ per mole of atoms

=====

No. 2
DFT (PBE) results for Sb2OsSe after structural relaxation.

Cell: 4.987 4.987 3.354 Å, 90.00 90.00 101.81°
Fractional positions:
1 Os 0.000 0.500 0.500
2 Sb 0.500 0.500 0.000
3 Sb 0.000 0.000 0.000
4 Se 0.500 0.000 0.500

Computed properties:
- Uncorrected energy: -5.049 eV/atom
- V: 81.7 Å³/cell
- Raw formation energy: 67 kJ per mole of atoms

=====

Among the records above, which one has the lowest uncorrected energy? SbOsSe